Model w:
# TaRhO2, optimized geometry, DFT PBE
data_TaRhO2
_chemical_formula_sum 'Ta1 Rh1 O2'
_cell_length_a 6.256
_cell_length_b 6.256
_cell_length_c 6.256
_cell_angle_alpha 29.41
_cell_angle_beta 29.41
_cell_angle_gamma 29.41
_symmetry_space_group_name_H-M 'P 1'
_symmetry_Int_Tables_number 1
_symmetry_space_group_name_Hall 'P 1'
loop_
_atom_site_label
_atom_site_fract_x
_atom_site_fract_y
_atom_site_fract_z
O1 0.111 0.111 0.111
O2 0.889 0.889 0.889
Rh1 0.500 0.500 0.500
Ta1 0.000 0.000 0.000
# Theoretical density   10038 kg/m3
# DOS at the Fermi energy   3.0 states/eV/f.u.

***

Model x:
# TaRhO2, optimized geometry, DFT PBE
data_TaRhO2
_chemical_formula_sum 'Ta1 Rh1 O2'
_cell_length_a 6.969
_cell_length_b 6.969
_cell_length_c 6.969
_cell_angle_alpha 23.53
_cell_angle_beta 23.53
_cell_angle_gamma 23.53
_symmetry_space_group_name_H-M 'P 1'
_symmetry_Int_Tables_number 1
_symmetry_space_group_name_Hall 'P 1'
loop_
_atom_site_label
_atom_site_fract_x
_atom_site_fract_y
_atom_site_fract_z
Rh1 0.000 0.000 0.000
O1 0.900 0.900 0.900
O2 0.100 0.100 0.100
Ta1 0.500 0.500 0.500
# Theoretical density   11066 kg/m3
# DOS at the Fermi energy   2.9 states/eV/f.u.

***

Most stable to least stable: model x, model w

***

Model w:
# Tc3RhO, optimized geometry, DFT PBE
data_Tc3RhO
_chemical_formula_sum 'Tc3 Rh1 O1'
_cell_length_a 4.690
_cell_length_b 4.690
_cell_length_c 4.690
_cell_angle_alpha 90.00
_cell_angle_beta 90.00
_cell_angle_gamma 90.00
_symmetry_space_group_name_H-M 'P 1'
_symmetry_Int_Tables_number 1
_symmetry_space_group_name_Hall 'P 1'
loop_
_atom_site_label
_atom_site_fract_x
_atom_site_fract_y
_atom_site_fract_z
Tc1 0.000 0.000 0.500
Tc2 0.500 0.000 0.000
Tc3 0.000 0.500 0.000
O1 0.500 0.500 0.500
Rh1 0.000 0.000 0.000
# Theoretical density   6645 kg/m3
# DOS at the Fermi energy   7.1 states/eV/f.u.

***

Model x:
# Tc3RhO, optimized geometry, DFT PBE
data_Tc3RhO
_chemical_formula_sum 'Tc3 Rh1 O1'
_cell_length_a 4.041
_cell_length_b 4.041
_cell_length_c 4.041
_cell_angle_alpha 90.00
_cell_angle_beta 90.00
_cell_angle_gamma 90.00
_symmetry_space_group_name_H-M 'P 1'
_symmetry_Int_Tables_number 1
_symmetry_space_group_name_Hall 'P 1'
loop_
_atom_site_label
_atom_site_fract_x
_atom_site_fract_y
_atom_site_fract_z
Tc1 0.500 0.000 0.000
Tc2 0.000 0.000 0.500
Tc3 0.000 0.500 0.000
O1 0.000 0.000 0.000
Rh1 0.500 0.500 0.500
# Theoretical density   10389 kg/m3
# DOS at the Fermi energy   4.3 states/eV/f.u.

***

Most stable to least stable: model x, model w

***

Model w:
# TeRh2O2, optimized geometry, DFT PBE
data_TeRh2O2
_chemical_formula_sum 'Te2 Rh4 O4'
_cell_length_a 7.043
_cell_length_b 7.043
_cell_length_c 2.963
_cell_angle_alpha 90.00
_cell_angle_beta 90.00
_cell_angle_gamma 90.00
_symmetry_space_group_name_H-M 'P 1'
_symmetry_Int_Tables_number 1
_symmetry_space_group_name_Hall 'P 1'
loop_
_atom_site_label
_atom_site_fract_x
_atom_site_fract_y
_atom_site_fract_z
Te1 0.500 0.500 0.000
Te2 0.000 0.000 0.000
O1 0.768 0.268 0.500
O2 0.732 0.768 0.500
O3 0.268 0.232 0.500
O4 0.232 0.732 0.500
Rh1 0.130 0.370 0.000
Rh2 0.370 0.870 0.000
Rh3 0.870 0.630 0.000
Rh4 0.630 0.130 0.000
# Theoretical density   8257 kg/m3
# DOS at the Fermi energy   4.7 states/eV/f.u.

***

Model x:
# TeRh2O2, optimized geometry, DFT PBE
data_TeRh2O2
_chemical_formula_sum 'Te1 Rh2 O2'
_cell_length_a 3.610
_cell_length_b 3.610
_cell_length_c 5.929
_cell_angle_alpha 72.28
_cell_angle_beta 72.28
_cell_angle_gamma 90.00
_symmetry_space_group_name_H-M 'P 1'
_symmetry_Int_Tables_number 1
_symmetry_space_group_name_Hall 'P 1'
loop_
_atom_site_label
_atom_site_fract_x
_atom_site_fract_y
_atom_site_fract_z
Te1 0.000 0.000 0.000
Rh1 0.362 0.362 0.277
Rh2 0.638 0.638 0.723
O1 0.750 0.250 0.500
O2 0.250 0.750 0.500
# Theoretical density   8701 kg/m3
# DOS at the Fermi energy   3.3 states/eV/f.u.

***

Most stable to least stable: model x, model w

***

Model w:
# Te3RhO, optimized geometry, DFT PBE
data_Te3RhO
_chemical_formula_sum 'Te3 Rh1 O1'
_cell_length_a 5.142
_cell_length_b 5.142
_cell_length_c 5.142
_cell_angle_alpha 90.00
_cell_angle_beta 90.00
_cell_angle_gamma 90.00
_symmetry_space_group_name_H-M 'P 1'
_symmetry_Int_Tables_number 1
_symmetry_space_group_name_Hall 'P 1'
loop_
_atom_site_label
_atom_site_fract_x
_atom_site_fract_y
_atom_site_fract_z
Te1 0.000 0.500 0.000
Te2 0.000 0.000 0.500
Te3 0.500 0.000 0.000
Rh1 0.000 0.000 0.000
O1 0.500 0.500 0.500
# Theoretical density   6127 kg/m3
# DOS at the Fermi energy   9.5 states/eV/f.u.

***

Model x:
# Te3RhO, optimized geometry, DFT PBE
data_Te3RhO
_chemical_formula_sum 'Te3 Rh1 O1'
_cell_length_a 4.722
_cell_length_b 4.722
_cell_length_c 4.722
_cell_angle_alpha 90.00
_cell_angle_beta 90.00
_cell_angle_gamma 90.00
_symmetry_space_group_name_H-M 'P 1'
_symmetry_Int_Tables_number 1
_symmetry_space_group_name_Hall 'P 1'
loop_
_atom_site_label
_atom_site_fract_x
_atom_site_fract_y
_atom_site_fract_z
Te1 0.000 0.500 0.000
Te2 0.500 0.000 0.000
Te3 0.000 0.000 0.500
O1 0.000 0.000 0.000
Rh1 0.500 0.500 0.500
# Theoretical density   7913 kg/m3
# DOS at the Fermi energy   6.0 states/eV/f.u.

***

Most stable to least stable: model x, model w

***

Model w:
# Ti4Rh2O, optimized geometry, DFT PBE
data_Ti4Rh2O
_chemical_formula_sum 'Ti4 Rh2 O1'
_cell_length_a 4.029
_cell_length_b 4.029
_cell_length_c 7.031
_cell_angle_alpha 106.65
_cell_angle_beta 106.65
_cell_angle_gamma 90.00
_symmetry_space_group_name_H-M 'P 1'
_symmetry_Int_Tables_number 1
_symmetry_space_group_name_Hall 'P 1'
loop_
_atom_site_label
_atom_site_fract_x
_atom_site_fract_y
_atom_site_fract_z
Ti1 0.500 0.000 0.000
Ti2 0.820 0.820 0.640
Ti3 0.000 0.500 0.000
Ti4 0.180 0.180 0.360
Rh1 0.359 0.359 0.718
Rh2 0.641 0.641 0.282
O1 0.000 0.000 0.000
# Theoretical density   6576 kg/m3
# DOS at the Fermi energy   4.1 states/eV/f.u.

***

Model x:
# Ti4Rh2O, optimized geometry, DFT PBE
data_Ti4Rh2O
_chemical_formula_sum 'Ti16 Rh8 O4'
_cell_length_a 8.230
_cell_length_b 8.230
_cell_length_c 8.230
_cell_angle_alpha 60.00
_cell_angle_beta 60.00
_cell_angle_gamma 60.00
_symmetry_space_group_name_H-M 'P 1'
_symmetry_Int_Tables_number 1
_symmetry_space_group_name_Hall 'P 1'
loop_
_atom_site_label
_atom_site_fract_x
_atom_site_fract_y
_atom_site_fract_z
Rh1 0.409 0.409 0.409
Rh2 0.841 0.841 0.841
Rh3 0.841 0.476 0.841
Rh4 0.476 0.841 0.841
Rh5 0.774 0.409 0.409
Rh6 0.409 0.774 0.409
Rh7 0.841 0.841 0.476
Rh8 0.409 0.409 0.774
Ti1 0.068 0.432 0.432
Ti2 0.432 0.068 0.068
Ti3 0.182 0.818 0.818
Ti4 0.625 0.625 0.125
Ti5 0.625 0.125 0.625
Ti6 0.625 0.625 0.625
Ti7 0.818 0.818 0.182
Ti8 0.068 0.068 0.432
Ti9 0.182 0.818 0.182
Ti10 0.432 0.432 0.068
Ti11 0.818 0.182 0.182
Ti12 0.182 0.182 0.818
Ti13 0.068 0.432 0.068
Ti14 0.125 0.625 0.625
Ti15 0.818 0.182 0.818
Ti16 0.432 0.068 0.432
O1 0.625 0.125 0.125
O2 0.125 0.125 0.625
O3 0.125 0.625 0.125
O4 0.125 0.125 0.125
# Theoretical density   6964 kg/m3
# DOS at the Fermi energy   7.5 states/eV/f.u.

***

Most stable to least stable: model x, model w

***

Model w:
# TlRh3O, optimized geometry, DFT PBE
data_TlRh3O
_chemical_formula_sum 'Tl1 Rh3 O1'
_cell_length_a 5.056
_cell_length_b 5.056
_cell_length_c 5.056
_cell_angle_alpha 90.00
_cell_angle_beta 90.00
_cell_angle_gamma 90.00
_symmetry_space_group_name_H-M 'P 1'
_symmetry_Int_Tables_number 1
_symmetry_space_group_name_Hall 'P 1'
loop_
_atom_site_label
_atom_site_fract_x
_atom_site_fract_y
_atom_site_fract_z
O1 0.500 0.500 0.500
Rh1 0.500 0.000 0.000
Rh2 0.000 0.000 0.500
Rh3 0.000 0.500 0.000
Tl1 0.000 0.000 0.000
# Theoretical density   6798 kg/m3
# DOS at the Fermi energy   6.0 states/eV/f.u.

***

Model x:
# TlRh3O, optimized geometry, DFT PBE
data_TlRh3O
_chemical_formula_sum 'Tl1 Rh3 O1'
_cell_length_a 4.212
_cell_length_b 4.212
_cell_length_c 4.212
_cell_angle_alpha 90.00
_cell_angle_beta 90.00
_cell_angle_gamma 90.00
_symmetry_space_group_name_H-M 'P 1'
_symmetry_Int_Tables_number 1
_symmetry_space_group_name_Hall 'P 1'
loop_
_atom_site_label
_atom_site_fract_x
_atom_site_fract_y
_atom_site_fract_z
Rh1 0.000 0.500 0.000
Rh2 0.000 0.000 0.500
Rh3 0.500 0.000 0.000
O1 0.000 0.000 0.000
Tl1 0.500 0.500 0.500
# Theoretical density   11760 kg/m3
# DOS at the Fermi energy   7.4 states/eV/f.u.

***

Most stable to least stable: model x, model w

***

Model w:
# Tl2RhO4, optimized geometry, DFT PBE
data_Tl2RhO4
_chemical_formula_sum 'Tl4 Rh2 O8'
_cell_length_a 3.265
_cell_length_b 5.990
_cell_length_c 10.035
_cell_angle_alpha 90.00
_cell_angle_beta 90.00
_cell_angle_gamma 90.00
_symmetry_space_group_name_H-M 'P 1'
_symmetry_Int_Tables_number 1
_symmetry_space_group_name_Hall 'P 1'
loop_
_atom_site_label
_atom_site_fract_x
_atom_site_fract_y
_atom_site_fract_z
Rh1 0.000 0.500 0.000
Rh2 0.000 0.000 0.500
O1 0.500 0.703 0.041
O2 0.000 0.875 0.315
O3 0.500 0.297 0.959
O4 0.000 0.625 0.815
O5 0.500 0.203 0.459
O6 0.000 0.375 0.185
O7 0.500 0.797 0.541
O8 0.000 0.125 0.685
Tl1 0.500 0.434 0.673
Tl2 0.500 0.566 0.327
Tl3 0.500 0.066 0.173
Tl4 0.500 0.934 0.827
# Theoretical density   9742 kg/m3
# DOS at the Fermi energy   3.1 states/eV/f.u.

***

Model x:
# Tl2RhO4, optimized geometry, DFT PBE
data_Tl2RhO4
_chemical_formula_sum 'Tl4 Rh2 O8'
_cell_length_a 6.335
_cell_length_b 6.759
_cell_length_c 6.759
_cell_angle_alpha 63.93
_cell_angle_beta 62.05
_cell_angle_gamma 62.05
_symmetry_space_group_name_H-M 'P 1'
_symmetry_Int_Tables_number 1
_symmetry_space_group_name_Hall 'P 1'
loop_
_atom_site_label
_atom_site_fract_x
_atom_site_fract_y
_atom_site_fract_z
O1 0.228 0.288 0.788
O2 0.742 0.324 0.191
O3 0.258 0.309 0.176
O4 0.303 0.712 0.212
O5 0.742 0.691 0.824
O6 0.772 0.712 0.212
O7 0.258 0.676 0.809
O8 0.697 0.288 0.788
Tl1 0.500 0.000 0.000
Tl2 0.132 0.118 0.618
Tl3 0.500 0.500 0.500
Tl4 0.868 0.882 0.382
Rh1 0.500 0.500 0.000
Rh2 0.000 0.500 0.000
# Theoretical density   8821 kg/m3
# DOS at the Fermi energy   4.3 states/eV/f.u.

***

Most stable to least stable: model x, model w

***

Model w:
# Tl2RhO, optimized geometry, DFT PBE
data_Tl2RhO
_chemical_formula_sum 'Tl4 Rh2 O2'
_cell_length_a 6.653
_cell_length_b 6.653
_cell_length_c 5.880
_cell_angle_alpha 55.54
_cell_angle_beta 55.54
_cell_angle_gamma 90.00
_symmetry_space_group_name_H-M 'P 1'
_symmetry_Int_Tables_number 1
_symmetry_space_group_name_Hall 'P 1'
loop_
_atom_site_label
_atom_site_fract_x
_atom_site_fract_y
_atom_site_fract_z
Tl1 0.875 0.830 0.750
Tl2 0.375 0.420 0.750
Tl3 0.580 0.125 0.250
Tl4 0.170 0.625 0.250
O1 0.250 0.750 0.500
O2 0.500 0.500 0.000
Rh1 0.750 0.250 0.500
Rh2 0.000 0.000 0.000
# Theoretical density   11226 kg/m3
# DOS at the Fermi energy   1.6 states/eV/f.u.

***

Model x:
# Tl2RhO, optimized geometry, DFT PBE
data_Tl2RhO
_chemical_formula_sum 'Tl2 Rh1 O1'
_cell_length_a 4.679
_cell_length_b 4.679
_cell_length_c 4.679
_cell_angle_alpha 60.00
_cell_angle_beta 60.00
_cell_angle_gamma 60.00
_symmetry_space_group_name_H-M 'P 1'
_symmetry_Int_Tables_number 1
_symmetry_space_group_name_Hall 'P 1'
loop_
_atom_site_label
_atom_site_fract_x
_atom_site_fract_y
_atom_site_fract_z
Rh1 0.500 0.500 0.500
Tl1 0.750 0.750 0.750
Tl2 0.250 0.250 0.250
O1 0.000 0.000 0.000
# Theoretical density   12098 kg/m3
# DOS at the Fermi energy   4.3 states/eV/f.u.

***

Most stable to least stable: model w, model x

***

Model w:
# Tl2RhO2, optimized geometry, DFT PBE
data_Tl2RhO2
_chemical_formula_sum 'Tl2 Rh1 O2'
_cell_length_a 3.821
_cell_length_b 3.821
_cell_length_c 6.234
_cell_angle_alpha 72.15
_cell_angle_beta 72.15
_cell_angle_gamma 90.00
_symmetry_space_group_name_H-M 'P 1'
_symmetry_Int_Tables_number 1
_symmetry_space_group_name_Hall 'P 1'
loop_
_atom_site_label
_atom_site_fract_x
_atom_site_fract_y
_atom_site_fract_z
Tl1 0.361 0.361 0.277
Tl2 0.639 0.639 0.723
O1 0.250 0.750 0.500
O2 0.750 0.250 0.500
Rh1 0.000 0.000 0.000
# Theoretical density   11008 kg/m3
# DOS at the Fermi energy   3.0 states/eV/f.u.

***

Model x:
# Tl2RhO2, optimized geometry, DFT PBE
data_Tl2RhO2
_chemical_formula_sum 'Tl4 Rh2 O4'
_cell_length_a 7.134
_cell_length_b 7.134
_cell_length_c 3.154
_cell_angle_alpha 90.00
_cell_angle_beta 90.00
_cell_angle_gamma 90.00
_symmetry_space_group_name_H-M 'P 1'
_symmetry_Int_Tables_number 1
_symmetry_space_group_name_Hall 'P 1'
loop_
_atom_site_label
_atom_site_fract_x
_atom_site_fract_y
_atom_site_fract_z
Rh1 0.500 0.500 0.000
Rh2 0.000 0.000 0.000
Tl1 0.654 0.154 0.000
Tl2 0.154 0.346 0.000
Tl3 0.846 0.654 0.000
Tl4 0.346 0.846 0.000
O1 0.141 0.641 0.500
O2 0.641 0.859 0.500
O3 0.859 0.359 0.500
O4 0.359 0.141 0.500
# Theoretical density   11248 kg/m3
# DOS at the Fermi energy   4.5 states/eV/f.u.

***

Most stable to least stable: model w, model x

***

Model w:
# Tm2RhO, optimized geometry, DFT PBE
data_Tm2RhO
_chemical_formula_sum 'Tm2 Rh1 O1'
_cell_length_a 3.420
_cell_length_b 3.420
_cell_length_c 7.130
_cell_angle_alpha 76.12
_cell_angle_beta 76.12
_cell_angle_gamma 60.00
_symmetry_space_group_name_H-M 'P 1'
_symmetry_Int_Tables_number 1
_symmetry_space_group_name_Hall 'P 1'
loop_
_atom_site_label
_atom_site_fract_x
_atom_site_fract_y
_atom_site_fract_z
Tm1 0.238 0.238 0.286
Tm2 0.762 0.762 0.714
Rh1 0.000 0.000 0.000
O1 0.500 0.500 0.500
# Theoretical density   10931 kg/m3
# DOS at the Fermi energy   2.8 states/eV/f.u.

***

Model x:
# Tm2RhO, optimized geometry, DFT PBE
data_Tm2RhO
_chemical_formula_sum 'Tm2 Rh1 O1'
_cell_length_a 3.106
_cell_length_b 3.106
_cell_length_c 6.860
_cell_angle_alpha 90.00
_cell_angle_beta 90.00
_cell_angle_gamma 90.00
_symmetry_space_group_name_H-M 'P 1'
_symmetry_Int_Tables_number 1
_symmetry_space_group_name_Hall 'P 1'
loop_
_atom_site_label
_atom_site_fract_x
_atom_site_fract_y
_atom_site_fract_z
Tm1 0.000 0.000 0.232
Tm2 0.000 0.000 0.768
O1 0.500 0.500 0.000
Rh1 0.500 0.500 0.500
# Theoretical density   11459 kg/m3
# DOS at the Fermi energy   1.9 states/eV/f.u.

***

Most stable to least stable: model w, model x